[1]
{
  "formula": "PrThGeS",
  "functional": "PBE",
  "state": "relaxed",
  "cell": [[2.125, 1.227, 6.766], [-2.125, 1.227, 6.766], [0.000, -2.454, 6.766]],
  "species": ["Pr", "Th", "Ge", "S"],
  "fractional_positions": [[0.000, 0.000, 0.000], [0.499, 0.499, 0.499], [0.248, 0.248, 0.248], [0.752, 0.752, 0.752]],
  "rho_g_cm3": 7.49,
  "n_ef_per_ev_atom": 0.52
}

[2]
{
  "formula": "PrTl2GeS4",
  "functional": "PBE",
  "state": "relaxed",
  "cell": [[7.040, 0.000, 0.000], [0.000, 4.040, 0.000], [-2.380, 0.000, 7.344]],
  "species": ["Pr", "Tl", "Tl", "Ge", "S", "S", "S", "S"],
  "fractional_positions": [[0.000, 0.000, 0.000], [0.000, 0.500, 0.500], [0.500, 0.000, 0.500], [0.500, 0.500, 0.000], [0.257, 0.500, 0.202], [0.286, 0.000, 0.805], [0.714, 0.000, 0.195], [0.743, 0.500, 0.798]],
  "rho_g_cm3": 5.97,
  "n_ef_per_ev_atom": 0.59
}

[3]
{
  "formula": "PrTlGeS4",
  "functional": "PBE",
  "state": "relaxed",
  "cell": [[6.703, 0.000, 0.000], [0.000, 6.683, 0.000], [-2.529, 0.000, 8.452]],
  "species": ["Pr", "Pr", "Tl", "Tl", "Ge", "Ge", "S", "S", "S", "S", "S", "S", "S", "S"],
  "fractional_positions": [[0.232, 0.250, 0.056], [0.768, 0.750, 0.944], [0.266, 0.250, 0.570], [0.734, 0.750, 0.430], [0.223, 0.750, 0.819], [0.777, 0.250, 0.181], [0.002, 0.008, 0.783], [0.002, 0.492, 0.783], [0.413, 0.750, 0.073], [0.422, 0.750, 0.659], [0.578, 0.250, 0.341], [0.587, 0.250, 0.927], [0.998, 0.508, 0.217], [0.998, 0.992, 0.217]],
  "rho_g_cm3": 4.79,
  "n_ef_per_ev_atom": 0.00
}

[4]
{
  "formula": "PrTmGeS",
  "functional": "PBE",
  "state": "relaxed",
  "cell": [[2.055, 1.187, 6.743], [-2.055, 1.187, 6.743], [0.000, -2.373, 6.743]],
  "species": ["Pr", "Tm", "Ge", "S"],
  "fractional_positions": [[0.000, 0.000, 0.000], [0.500, 0.500, 0.500], [0.755, 0.755, 0.755], [0.244, 0.244, 0.244]],
  "rho_g_cm3": 6.98,
  "n_ef_per_ev_atom": 0.37
}

[5]
{
  "formula": "Pr5Ge2Sb",
  "functional": "PBE",
  "state": "relaxed",
  "cell": [[-4.076, 4.076, 7.104], [4.076, -4.076, 7.104], [4.076, 4.076, -7.104]],
  "species": ["Pr", "Pr", "Pr", "Pr", "Pr", "Pr", "Pr", "Pr", "Pr", "Pr", "Ge", "Ge", "Ge", "Ge", "Sb", "Sb"],
  "fractional_positions": [[0.000, 0.000, 0.000], [0.020, 0.520, 0.824], [0.196, 0.020, 0.500], [0.304, 0.804, 0.824], [0.480, 0.304, 0.500], [0.500, 0.500, 0.000], [0.520, 0.696, 0.500], [0.696, 0.196, 0.176], [0.804, 0.980, 0.500], [0.980, 0.480, 0.176], [0.137, 0.363, 0.500], [0.363, 0.863, 0.225], [0.637, 0.137, 0.775], [0.863, 0.637, 0.500], [0.250, 0.250, 0.000], [0.750, 0.750, 0.000]],
  "rho_g_cm3": 6.83,
  "n_ef_per_ev_atom": 1.12
}

[6]
{
  "formula": "PrGeSb3",
  "functional": "PBE",
  "state": "relaxed",
  "cell": [[14.149, 0.000, 0.000], [0.000, 6.191, 0.000], [0.000, 0.000, 6.319]],
  "species": ["Pr", "Pr", "Pr", "Pr", "Ge", "Ge", "Ge", "Ge", "Sb", "Sb", "Sb", "Sb", "Sb", "Sb", "Sb", "Sb", "Sb", "Sb", "Sb", "Sb"],
  "fractional_positions": [[0.177, 0.002, 0.250], [0.177, 0.498, 0.750], [0.823, 0.502, 0.250], [0.823, 0.998, 0.750], [0.388, 0.250, 0.000], [0.388, 0.250, 0.500], [0.612, 0.750, 0.000], [0.612, 0.750, 0.500], [0.000, 0.250, 0.000], [0.000, 0.250, 0.500], [0.000, 0.750, 0.000], [0.000, 0.750, 0.500], [0.248, 0.505, 0.250], [0.248, 0.995, 0.750], [0.415, 0.670, 0.750], [0.415, 0.830, 0.250], [0.585, 0.170, 0.750], [0.585, 0.330, 0.250], [0.752, 0.005, 0.250], [0.752, 0.495, 0.750]],
  "rho_g_cm3": 6.95,
  "n_ef_per_ev_atom": 0.42
}

[7]
{
  "formula": "Pr6GeSb5",
  "functional": "PBE",
  "state": "relaxed",
  "cell": [[3.919, -6.780, 0.000], [3.919, 6.780, 0.000], [-2.608, 0.000, 7.373]],
  "species": ["Pr", "Pr", "Pr", "Pr", "Pr", "Pr", "Ge", "Sb", "Sb", "Sb", "Sb", "Sb"],
  "fractional_positions": [[0.081, 0.406, 0.744], [0.243, 0.243, 0.253], [0.406, 0.081, 0.744], [0.594, 0.919, 0.256], [0.757, 0.757, 0.747], [0.919, 0.594, 0.256], [0.000, 0.000, 0.500], [0.171, 0.829, 0.000], [0.334, 0.666, 0.500], [0.500, 0.500, 0.000], [0.666, 0.334, 0.500], [0.829, 0.171, 0.000]],
  "rho_g_cm3": 6.47,
  "n_ef_per_ev_atom": 0.43
}

[8]
{
  "formula": "Pr2GeSb",
  "functional": "PBE",
  "state": "relaxed",
  "cell": [[2.295, -12.143, 0.000], [2.295, 12.143, 0.000], [0.000, 0.000, 4.305]],
  "species": ["Pr", "Pr", "Pr", "Pr", "Ge", "Ge", "Sb", "Sb"],
  "fractional_positions": [[0.061, 0.939, 0.750], [0.320, 0.680, 0.750], [0.680, 0.320, 0.250], [0.939, 0.061, 0.250], [0.461, 0.539, 0.750], [0.539, 0.461, 0.250], [0.189, 0.811, 0.750], [0.811, 0.189, 0.250]],
  "rho_g_cm3": 6.59,
  "de_polymorph_ev_per_atom": 0.000,
  "n_ef_per_ev_atom": 0.46
}

[9]
{
  "formula": "Pr4GeSb",
  "functional": "PBE",
  "state": "relaxed",
  "cell": [[4.547, -7.093, 0.000], [4.547, 7.093, 0.000], [-2.785, 0.000, 5.751]],
  "species": ["Pr", "Pr", "Pr", "Pr", "Pr", "Pr", "Pr", "Pr", "Ge", "Ge", "Sb", "Sb"],
  "fractional_positions": [[0.074, 0.708, 0.928], [0.221, 0.374, 0.682], [0.292, 0.926, 0.572], [0.374, 0.221, 0.182], [0.626, 0.779, 0.818], [0.708, 0.074, 0.428], [0.779, 0.626, 0.318], [0.926, 0.292, 0.072], [0.001, 0.999, 0.250], [0.999, 0.001, 0.750], [0.377, 0.623, 0.250], [0.623, 0.377, 0.750]],
  "rho_g_cm3": 6.79,
  "n_ef_per_ev_atom": 1.18
}

[10]
{
  "formula": "PrGe4Sb",
  "functional": "PBE",
  "state": "relaxed",
  "cell": [[0.000, 4.038, 4.038], [4.038, 0.000, 4.038], [4.038, 4.038, 0.000]],
  "species": ["Pr", "Ge", "Ge", "Ge", "Ge", "Sb"],
  "fractional_positions": [[0.000, 0.000, 0.000], [0.125, 0.625, 0.625], [0.625, 0.125, 0.625], [0.625, 0.625, 0.125], [0.625, 0.625, 0.625], [0.250, 0.250, 0.250]],
  "rho_g_cm3": 6.98,
  "n_ef_per_ev_atom": 0.39
}

[11]
{
  "formula": "Pr6GeSb2",
  "functional": "PBE",
  "state": "relaxed",
  "cell": [[8.585, 0.000, 0.000], [-4.292, 7.435, 0.000], [0.000, 0.000, 4.379]],
  "species": ["Pr", "Pr", "Pr", "Pr", "Pr", "Pr", "Ge", "Sb", "Sb"],
  "fractional_positions": [[0.000, 0.414, 0.000], [0.000, 0.751, 0.500], [0.249, 0.249, 0.500], [0.414, 0.000, 0.000], [0.586, 0.586, 0.000], [0.751, 0.000, 0.500], [0.000, 0.000, 0.000], [0.333, 0.667, 0.500], [0.667, 0.333, 0.500]],
  "rho_g_cm3": 6.90,
  "n_ef_per_ev_atom": 1.22
}

[12]
{
  "formula": "Pr8GeSb5",
  "functional": "PBE",
  "state": "relaxed",
  "cell": [[-4.753, 4.753, 4.802], [4.753, -4.753, 4.802], [4.753, 4.753, -4.802]],
  "species": ["Pr", "Pr", "Pr", "Pr", "Pr", "Pr", "Pr", "Pr", "Ge", "Sb", "Sb", "Sb", "Sb", "Sb"],
  "fractional_positions": [[0.022, 0.129, 0.753], [0.244, 0.483, 0.621], [0.376, 0.269, 0.247], [0.377, 0.756, 0.239], [0.517, 0.138, 0.761], [0.731, 0.978, 0.108], [0.862, 0.623, 0.379], [0.871, 0.624, 0.892], [0.500, 0.500, 0.000], [0.002, 0.375, 0.130], [0.128, 0.998, 0.373], [0.245, 0.872, 0.870], [0.625, 0.755, 0.627], [0.750, 0.250, 0.500]],
  "rho_g_cm3": 6.92,
  "n_ef_per_ev_atom": 1.00
}

For reference, raw formation energy by record: -535; -594; -682; -544; -601; -178; -1266; -370; -383; -101; -658; -1379 kJ/mol of formula units.